Here is crystalline CsPtBr at its relaxed geometry from Alexandria via LeMat-Bulk. Energies are from PBE.

It has space group Imma (No. 74), with a = 9.542 Å, b = 11.063 Å, c = 4.927 Å, α = 90.00°, β = 90.00° and γ = 90.00°. Symmetry generates all atoms from Cs at (0.000, 0.000, 0.000), Pt at (0.000, 0.250, 0.388) and Br at (0.250, 0.250, 0.250).

The value obtained for the energy above the lowest structure with this stoichiometry is 444 meV per atom. Its formation energy without anion corrections is -0.236 eV/atom. As for the total DFT energy (no corrections): -3.0920 eV per atom.